A plane-wave DFT calculation with PBE was carried out for a relaxed LuAlCuRe crystal.

Calculated values
Energy relative to the lowest polymorph listed for this composition ... 0.000 eV/atom
Electronic total energy ... -6.078 eV per atom
M_tot ... 0.000 μB per atom
Space group ... F-43m (216)

```
data_LuAlCuRe
_chemical_formula_sum 'Lu1 Al1 Cu1 Re1'
_space_group_name_H-M_alt 'P 1'
_space_group_IT_number 1
_cell_length_a 4.5455
_cell_length_b 4.5455
_cell_length_c 4.5455
_cell_angle_alpha 60.00
_cell_angle_beta 60.00
_cell_angle_gamma 60.00
loop_
_space_group_symop_operation_xyz
'x,y,z'
loop_
_atom_site_label
_atom_site_type_symbol
_atom_site_fract_x
_atom_site_fract_y
_atom_site_fract_z
_atom_site_occupancy
Al1 Al 0.0000 0.0000 0.0000 1
Cu1 Cu 0.7500 0.7500 0.7500 1
Lu1 Lu 0.5000 0.5000 0.5000 1
Re1 Re 0.2500 0.2500 0.2500 1
```

A plane-wave DFT calculation with PBE was carried out for a relaxed SiAu4 crystal.

Calculated values
Electronic total energy ... -3.703 eV per atom
Space group ... I-43m (217)

```
data_SiAu4
_chemical_formula_sum 'Si1 Au4'
_space_group_name_H-M_alt 'P 1'
_space_group_IT_number 1
_cell_length_a 5.0579
_cell_length_b 5.0579
_cell_length_c 5.0579
_cell_angle_alpha 109.47
_cell_angle_beta 109.47
_cell_angle_gamma 109.47
loop_
_space_group_symop_operation_xyz
'x,y,z'
loop_
_atom_site_label
_atom_site_type_symbol
_atom_site_fract_x
_atom_site_fract_y
_atom_site_fract_z
_atom_site_occupancy
Au1 Au 0.4983 0.0000 0.0000 1
Au2 Au 0.0000 0.4983 0.0000 1
Au3 Au 0.0000 0.0000 0.4983 1
Au4 Au 0.5017 0.5017 0.5017 1
Si1 Si 0.0000 0.0000 0.0000 1
```

A plane-wave DFT calculation with PBE was carried out for a relaxed ZnIrPd crystal.

Calculated values
Energy relative to the lowest polymorph listed for this composition ... 0.000 eV/atom
Formation energy from the elements ... -0.2072 eV/atom
Electronic total energy ... -5.305 eV per atom
M_tot ... 0.000 μB per atom
Space group ... Pm (6)

```
data_ZnIrPd
_chemical_formula_sum 'Zn2 Ir2 Pd2'
_space_group_name_H-M_alt 'P 1'
_space_group_IT_number 1
_cell_length_a 4.6492
_cell_length_b 2.8064
_cell_length_c 6.7516
_cell_angle_alpha 90.00
_cell_angle_beta 97.68
_cell_angle_gamma 90.00
loop_
_space_group_symop_operation_xyz
'x,y,z'
loop_
_atom_site_label
_atom_site_type_symbol
_atom_site_fract_x
_atom_site_fract_y
_atom_site_fract_z
_atom_site_occupancy
Ir1 Ir 0.5983 0.0000 0.2070 1
Ir2 Ir 0.8032 0.5000 0.5293 1
Pd1 Pd 0.0946 0.5000 0.1927 1
Pd2 Pd 0.3675 0.5000 0.8537 1
Zn1 Zn 0.2958 0.0000 0.5237 1
Zn2 Zn 0.8679 0.0000 0.8681 1
```

A plane-wave DFT calculation with PBE was carried out for a relaxed CsNbAgAu crystal.

Calculated values
Energy relative to the lowest polymorph listed for this composition ... 0.000 eV/atom
Electronic total energy ... -3.226 eV per atom
M_tot ... 0.924 μB per atom
Space group ... F-43m (216)

```
data_CsNbAgAu
_chemical_formula_sum 'Cs1 Nb1 Ag1 Au1'
_space_group_name_H-M_alt 'P 1'
_space_group_IT_number 1
_cell_length_a 5.3450
_cell_length_b 5.3450
_cell_length_c 5.3450
_cell_angle_alpha 60.00
_cell_angle_beta 60.00
_cell_angle_gamma 60.00
loop_
_space_group_symop_operation_xyz
'x,y,z'
loop_
_atom_site_label
_atom_site_type_symbol
_atom_site_fract_x
_atom_site_fract_y
_atom_site_fract_z
_atom_site_occupancy
Ag1 Ag 0.2500 0.2500 0.2500 1
Au1 Au 0.7500 0.7500 0.7500 1
Cs1 Cs 0.0000 0.0000 0.0000 1
Nb1 Nb 0.5000 0.5000 0.5000 1
```

A plane-wave DFT calculation with PBE was carried out for a relaxed BaSmCuTeSe2 crystal.

Calculated values
Electronic total energy ... -4.867 eV per atom
M_tot ... 0.000 μB per atom
Space group ... Cmcm (63)

```
data_BaSmCuTeSe2
_chemical_formula_sum 'Ba2 Sm2 Cu2 Te2 Se4'
_space_group_name_H-M_alt 'P 1'
_space_group_IT_number 1
_cell_length_a 7.6508
_cell_length_b 7.6508
_cell_length_c 11.4176
_cell_angle_alpha 90.00
_cell_angle_beta 90.00
_cell_angle_gamma 147.42
loop_
_space_group_symop_operation_xyz
'x,y,z'
loop_
_atom_site_label
_atom_site_type_symbol
_atom_site_fract_x
_atom_site_fract_y
_atom_site_fract_z
_atom_site_occupancy
Ba1 Ba 0.7703 0.2297 0.2500 1
Ba2 Ba 0.2297 0.7703 0.7500 1
Cu1 Cu 0.4740 0.5260 0.2500 1
Cu2 Cu 0.5260 0.4740 0.7500 1
Se1 Se 0.3743 0.6257 0.0728 1
Se2 Se 0.3743 0.6257 0.4272 1
Se3 Se 0.6257 0.3743 0.5728 1
Se4 Se 0.6257 0.3743 0.9272 1
Sm1 Sm 0.0000 0.0000 0.0000 1
Sm2 Sm 0.0000 0.0000 0.5000 1
Te1 Te 0.0838 0.9162 0.2500 1
Te2 Te 0.9162 0.0838 0.7500 1
```

A plane-wave DFT calculation with PBE was carried out for a relaxed MgNi crystal.

Calculated values
Electronic total energy ... -3.602 eV per atom
M_tot ... 0.001 μB per atom
Space group ... Amm2 (38)

```
data_MgNi
_chemical_formula_sum 'Mg5 Ni5'
_space_group_name_H-M_alt 'P 1'
_space_group_IT_number 1
_cell_length_a 4.6161
_cell_length_b 7.5409
_cell_length_c 4.3366
_cell_angle_alpha 90.00
_cell_angle_beta 90.00
_cell_angle_gamma 72.16
loop_
_space_group_symop_operation_xyz
'x,y,z'
loop_
_atom_site_label
_atom_site_type_symbol
_atom_site_fract_x
_atom_site_fract_y
_atom_site_fract_z
_atom_site_occupancy
Mg1 Mg 0.0118 0.0304 0.0000 1
Mg2 Mg 0.2423 0.5696 0.0000 1
Mg3 Mg 0.6174 0.0296 0.5000 1
Mg4 Mg 0.8471 0.5703 0.5000 1
Mg5 Mg 0.2596 0.8000 0.5000 1
Ni1 Ni 0.3792 0.2193 0.0000 1
Ni2 Ni 0.7986 0.3809 0.0000 1
Ni3 Ni 0.6449 0.8000 0.0000 1
Ni4 Ni 0.0567 0.2186 0.5000 1
Ni5 Ni 0.4754 0.3814 0.5000 1
```